Model P:
DFT (PBE) results for a relaxed structure of CaGa3Bi.

Geometry as POSCAR:
```
CaGa3Bi
1.0
5.485 0.000 0.000
0.000 5.485 0.000
0.000 0.000 5.485
Bi Ga Ca
1 3 1
Direct
0.500 0.500 0.500
0.000 0.500 0.000
0.000 0.000 0.500
0.500 0.000 0.000
0.000 0.000 0.000
```

- Symmetry: Pm-3m, No. 221
- Theoretical density: 4.6 g cm⁻³

---

Model Q:
DFT (PBE) results for a relaxed structure of CaGa3Bi.

Geometry as POSCAR:
```
CaGa3Bi
1.0
-3.502 4.157 0.986
-0.711 -1.824 5.165
4.212 3.148 1.692
Ca Ga Bi
1 3 1
Direct
0.500 0.500 0.500
0.000 0.500 0.000
0.000 0.000 0.500
0.500 0.000 0.000
0.000 0.000 0.000
```

- Symmetry: Pm-3m, No. 221
- Theoretical density: 4.5 g cm⁻³

---

Stability, descending: model Q, model P

---

Model P:
DFT (PBE) results for a relaxed structure of CaGa2Bi2.

Geometry as POSCAR:
```
CaGa2Bi2
1.0
4.280 0.000 0.000
0.000 4.280 0.000
2.140 2.140 7.906
Bi Ga Ca
2 2 1
Direct
0.398 0.398 0.204
0.602 0.602 0.796
0.250 0.750 0.500
0.750 0.250 0.500
0.000 0.000 0.000
```

- Symmetry: I4/mmm, No. 139
- Theoretical density: 6.9 g cm⁻³

---

Model Q:
DFT (PBE) results for a relaxed structure of CaGa2Bi2.

Geometry as POSCAR:
```
CaGa2Bi2
1.0
-0.960 -0.089 -8.302
6.086 -5.693 -0.643
-2.746 -2.976 0.349
Ca Bi Ga
2 4 4
Direct
0.000 0.000 0.000
0.500 0.500 0.000
0.861 0.639 0.000
0.639 0.139 0.000
0.139 0.361 0.000
0.361 0.861 0.000
0.848 0.348 0.500
0.348 0.152 0.500
0.652 0.848 0.500
0.152 0.652 0.500
```

- Symmetry: P4/mbm, No. 127
- Theoretical density: 7.0 g cm⁻³

---

Model R:
DFT (PBE) results for a relaxed structure of CaGa2Bi2.

Geometry as POSCAR:
```
CaGa2Bi2
1.0
-4.175 -4.828 -5.072
5.470 -5.935 1.147
-2.158 -1.390 3.099
Ca Ga Bi
2 4 4
Direct
0.000 0.000 0.000
0.500 0.500 0.000
0.119 0.381 0.000
0.619 0.119 0.000
0.881 0.619 0.000
0.381 0.881 0.000
0.171 0.671 0.500
0.829 0.329 0.500
0.329 0.171 0.500
0.671 0.829 0.500
```

- Symmetry: P4/mbm, No. 127
- Theoretical density: 7.4 g cm⁻³

---

Stability, descending: model R, model P, model Q

---

Model P:
DFT (PBE) results for a relaxed structure of CaGaBi.

Geometry as POSCAR:
```
CaGaBi
1.0
-2.927 2.365 2.421
-5.576 -3.140 0.462
2.003 -0.162 6.717
Bi Ga Ca
2 2 2
Direct
0.037 0.129 0.797
0.963 0.871 0.203
0.446 0.689 0.418
0.554 0.311 0.582
0.245 0.308 0.203
0.755 0.692 0.797
```

- Symmetry: C2/m, No. 12
- Theoretical density: 6.2 g cm⁻³

---

Model Q:
DFT (PBE) results for a relaxed structure of CaGaBi.

Geometry as POSCAR:
```
CaGaBi
1.0
-0.022 -1.167 -3.686
5.441 0.377 -0.152
-0.829 -7.103 4.282
Ca Ga Bi
2 2 2
Direct
0.418 0.218 0.837
0.582 0.782 0.163
0.250 0.809 0.499
0.750 0.191 0.501
0.107 0.298 0.214
0.893 0.702 0.786
```

- Symmetry: C2/m, No. 12
- Theoretical density: 6.3 g cm⁻³

---

Model R:
DFT (PBE) results for a relaxed structure of CaGaBi.

Geometry as POSCAR:
```
CaGaBi
1.0
4.939 0.000 0.000
0.000 4.517 0.000
0.000 -2.258 3.912
Bi Ga Ca
1 1 1
Direct
0.281 0.333 0.667
0.022 0.000 0.000
0.698 0.667 0.333
```

- Symmetry: P3m1, No. 156
- Theoretical density: 6.1 g cm⁻³

---

Model S:
DFT (PBE) results for a relaxed structure of CaGaBi.

Geometry as POSCAR:
```
CaGaBi
1.0
4.434 0.000 0.000
0.000 4.434 0.000
-2.217 -2.217 4.516
Bi Ca Ga
1 1 1
Direct
0.963 0.963 0.925
0.608 0.608 0.215
0.280 0.280 0.559
```

- Symmetry: I4mm, No. 107
- Theoretical density: 6.0 g cm⁻³

---

Stability, descending: model R, model P, model Q, model S

---

Model P:
DFT (PBE) results for a relaxed structure of CaInGaBi.

Geometry as POSCAR:
```
CaInGaBi
1.0
-1.451 -3.929 -3.425
-1.789 -4.733 1.915
-5.216 -1.336 -0.531
In Ga Ca Bi
1 1 1 1
Direct
0.500 0.500 0.500
0.250 0.250 0.250
0.000 0.000 0.000
0.750 0.750 0.750
```

- Symmetry: F-43m, No. 216
- Theoretical density: 6.4 g cm⁻³

---

Model Q:
DFT (PBE) results for a relaxed structure of CaInGaBi.

Geometry as POSCAR:
```
CaInGaBi
1.0
4.644 0.000 0.000
0.000 4.701 0.000
0.000 0.000 4.932
Ca Bi Ga In
1 1 1 1
Direct
0.500 0.500 0.000
0.000 0.000 0.000
0.000 0.500 0.500
0.500 0.000 0.500
```

- Symmetry: Pmmm, No. 47
- Theoretical density: 6.7 g cm⁻³

---

Stability, descending: model Q, model P